1.
Entry from Alexandria: a geometry-optimized NaMn2Ir2 structure (PBE-GGA).

Structure (POSCAR):
```
NaMn2Ir2
1.0
7.601 0.000 0.000
0.000 7.601 0.000
0.000 0.000 2.738
Na Mn Ir
2 4 4
direct
0.000 0.000 0.000 Na
0.500 0.500 0.000 Na
0.160 0.340 0.500 Mn
0.340 0.840 0.500 Mn
0.660 0.160 0.500 Mn
0.840 0.660 0.500 Mn
0.135 0.635 0.000 Ir
0.365 0.135 0.000 Ir
0.635 0.865 0.000 Ir
0.865 0.365 0.000 Ir
```

Results
The energy above the most stable polymorph in this dataset is 0 meV/atom. The calculation puts the formation energy at 97.7 meV/atom.

2.
Entry from Alexandria: a geometry-optimized NpScZn structure (PBE-GGA).

Structure (POSCAR):
```
NpScZn
1.0
3.062 0.000 0.000
0.000 16.125 0.000
0.000 0.000 4.761
Np Sc Zn
4 4 4
direct
0.000 0.245 0.250 Np
0.000 0.755 0.750 Np
0.500 0.255 0.750 Np
0.500 0.745 0.250 Np
0.000 0.434 0.750 Sc
0.000 0.566 0.250 Sc
0.500 0.066 0.250 Sc
0.500 0.934 0.750 Sc
0.000 0.094 0.750 Zn
0.000 0.906 0.250 Zn
0.500 0.406 0.250 Zn
0.500 0.594 0.750 Zn
```

Results
The calculation puts the formation energy at -20.6 meV/atom.

3.
Entry from Alexandria: a geometry-optimized MgSc2Cl structure (PBE-GGA).

Structure (POSCAR):
```
MgSc2Cl
1.0
3.304 0.000 0.000
0.000 5.154 0.000
0.000 0.000 5.511
Mg Sc Cl
1 2 1
direct
0.000 0.000 0.000 Mg
0.000 0.500 0.500 Sc
0.500 0.500 0.000 Sc
0.500 0.000 0.500 Cl
```

Results
As for the uncorrected formation energy: -202 meV per atom. The energy above the most stable polymorph in this dataset is 407 meV/atom.

4.
Entry from Alexandria: a geometry-optimized RbNb2Sn2 structure (PBE-GGA).

Structure (POSCAR):
```
RbNb2Sn2
1.0
4.413 0.000 0.000
0.000 4.413 0.000
0.000 0.000 14.200
Rb Nb Sn
2 4 4
direct
0.000 0.000 0.000 Rb
0.500 0.500 0.500 Rb
0.000 0.500 0.250 Nb
0.000 0.500 0.750 Nb
0.500 0.000 0.250 Nb
0.500 0.000 0.750 Nb
0.000 0.000 0.377 Sn
0.000 0.000 0.623 Sn
0.500 0.500 0.123 Sn
0.500 0.500 0.877 Sn
```

Results
The energy above the most stable polymorph in this dataset is 79 meV/atom. The calculation puts the formation energy at 292.2 meV/atom.

5.
Entry from Alexandria: a geometry-optimized ScNi2Rh2 structure (PBE-GGA).

Structure (POSCAR):
```
ScNi2Rh2
1.0
3.441 0.000 0.000
0.000 3.441 0.000
0.000 0.000 12.719
Sc Ni Rh
2 4 4
direct
0.000 0.000 0.000 Sc
0.500 0.500 0.500 Sc
0.000 0.500 0.250 Ni
0.000 0.500 0.750 Ni
0.500 0.000 0.250 Ni
0.500 0.000 0.750 Ni
0.000 0.000 0.395 Rh
0.000 0.000 0.605 Rh
0.500 0.500 0.105 Rh
0.500 0.500 0.895 Rh
```

Results
The energy above the most stable polymorph in this dataset is 80 meV/atom. The calculation puts the formation energy at -165.5 meV/atom.

6.
Entry from Alexandria: a geometry-optimized BePIr4 structure (PBE-GGA).

Structure (POSCAR):
```
BePIr4
1.0
0.000 3.636 3.636
3.636 0.000 3.636
3.636 3.636 0.000
Be P Ir
1 1 4
direct
0.000 0.000 0.000 Be
0.250 0.250 0.250 P
0.125 0.625 0.625 Ir
0.625 0.125 0.625 Ir
0.625 0.625 0.125 Ir
0.625 0.625 0.625 Ir
```

Results
The calculation puts the formation energy at 783.1 meV/atom.

7.
Entry from Alexandria: a geometry-optimized AlPdS2Cl structure (PBE-GGA).

Structure (POSCAR):
```
AlPdS2Cl
1.0
4.738 0.000 0.000
0.000 4.738 0.000
0.000 0.000 4.788
Al Pd S Cl
1 1 2 1
direct
0.000 0.000 0.000 Al
0.500 0.500 0.500 Pd
0.000 0.500 0.500 S
0.500 0.000 0.500 S
0.500 0.500 0.000 Cl
```

Results
As for the uncorrected formation energy: 237 meV per atom. The energy above the most stable polymorph in this dataset is 209 meV/atom.

8.
Entry from Alexandria: a geometry-optimized Ba2InGa4Ag3 structure (PBE-GGA).

Structure (POSCAR):
```
Ba2InGa4Ag3
1.0
4.661 0.000 0.000
0.000 4.661 0.000
0.000 0.000 11.345
Ba In Ga Ag
2 1 4 3
direct
0.000 0.500 0.244 Ba
0.500 0.000 0.756 Ba
0.000 0.000 0.500 In
0.000 0.000 0.000 Ga
0.000 0.500 0.639 Ga
0.500 0.000 0.361 Ga
0.500 0.500 0.000 Ga
0.000 0.500 0.876 Ag
0.500 0.000 0.124 Ag
0.500 0.500 0.500 Ag
```

Results
The calculation puts the formation energy at -312.4 meV/atom.

Please write out number 8 again, unchanged.
Entry from Alexandria: a geometry-optimized Ba2InGa4Ag3 structure (PBE-GGA).

Structure (POSCAR):
```
Ba2InGa4Ag3
1.0
4.661 0.000 0.000
0.000 4.661 0.000
0.000 0.000 11.345
Ba In Ga Ag
2 1 4 3
direct
0.000 0.500 0.244 Ba
0.500 0.000 0.756 Ba
0.000 0.000 0.500 In
0.000 0.000 0.000 Ga
0.000 0.500 0.639 Ga
0.500 0.000 0.361 Ga
0.500 0.500 0.000 Ga
0.000 0.500 0.876 Ag
0.500 0.000 0.124 Ag
0.500 0.500 0.500 Ag
```

Results
The calculation puts the formation energy at -312.4 meV/atom.